[1]
This record from Alexandria describes In15SbPb4 after structural relaxation. The functional is GGA-PBE.

Geometry as CIF:
```
data_In15SbPb4
_chemical_formula_sum 'In15 Sb1 Pb4'
_cell_length_a 5.087
_cell_length_b 5.087
_cell_length_c 21.797
_cell_angle_alpha 90.00
_cell_angle_beta 90.00
_cell_angle_gamma 90.00
_symmetry_space_group_name_H-M 'P 4/m m m'
_symmetry_Int_Tables_number 123
_symmetry_space_group_name_Hall '-P 4 2'
loop_
_atom_site_label
_atom_site_type_symbol
_atom_site_fract_x
_atom_site_fract_y
_atom_site_fract_z
In1 In 0.000 0.000 0.000
In2 In 0.000 0.000 0.197
In3 In 0.000 0.000 0.398
In4 In 0.000 0.500 0.097
In5 In 0.000 0.500 0.298
In6 In 0.000 0.500 0.500
Sb1 Sb 0.500 0.500 0.000
Pb1 Pb 0.500 0.500 0.199
Pb2 Pb 0.500 0.500 0.400
```

[2]
This record from Alexandria describes In6SbPb after structural relaxation. The functional is GGA-PBE.

Geometry as CIF:
```
data_In6SbPb
_chemical_formula_sum 'In12 Sb2 Pb2'
_cell_length_a 5.403
_cell_length_b 7.077
_cell_length_c 11.827
_cell_angle_alpha 90.00
_cell_angle_beta 90.00
_cell_angle_gamma 90.00
_symmetry_space_group_name_H-M 'A m m 2'
_symmetry_Int_Tables_number 38
_symmetry_space_group_name_Hall 'A 2 -2'
loop_
_atom_site_label
_atom_site_type_symbol
_atom_site_fract_x
_atom_site_fract_y
_atom_site_fract_z
In1 In 0.000 0.000 0.000
In2 In 0.000 0.000 0.489
In3 In 0.000 0.235 0.743
In4 In 0.500 0.240 0.571
Sb1 Sb 0.500 0.000 0.836
Pb1 Pb 0.500 0.000 0.316
```

[3]
# In2SbPb GGA-PBE optimized geometry
data_In2SbPb
_chemical_formula_sum 'In2 Sb1 Pb1'
_cell_length_a 3.983
_cell_length_b 3.983
_cell_length_c 7.280
_cell_angle_alpha 90.00
_cell_angle_beta 90.00
_cell_angle_gamma 90.00
_symmetry_space_group_name_H-M 'P 4 m m'
_symmetry_Int_Tables_number 99
_symmetry_space_group_name_Hall 'P 4 -2'
loop_
_atom_site_label
_atom_site_type_symbol
_atom_site_fract_x
_atom_site_fract_y
_atom_site_fract_z
In1 In 0.000 0.000 0.000
In2 In 0.500 0.500 0.242
Sb1 Sb 0.500 0.500 0.776
Pb1 Pb 0.000 0.000 0.529
# ΔE to the lowest computed polymorph	0.01	eV/f.u.

[4]
This record from Alexandria describes In12SbPb3 after structural relaxation. The functional is GGA-PBE.

Geometry as CIF:
```
data_In12SbPb3
_chemical_formula_sum 'In12 Sb1 Pb3'
_cell_length_a 5.109
_cell_length_b 5.109
_cell_length_c 17.276
_cell_angle_alpha 90.00
_cell_angle_beta 90.00
_cell_angle_gamma 90.00
_symmetry_space_group_name_H-M 'P 4/m m m'
_symmetry_Int_Tables_number 123
_symmetry_space_group_name_Hall '-P 4 2'
loop_
_atom_site_label
_atom_site_type_symbol
_atom_site_fract_x
_atom_site_fract_y
_atom_site_fract_z
In1 In 0.000 0.000 0.000
In2 In 0.000 0.000 0.245
In3 In 0.000 0.000 0.500
In4 In 0.000 0.500 0.121
In5 In 0.000 0.500 0.373
Sb1 Sb 0.500 0.500 0.000
Pb1 Pb 0.500 0.500 0.250
Pb2 Pb 0.500 0.500 0.500
```

no.,D(E_F) (states/eV per cell),formation energy from raw total energies (eV/atom)
1,5.89,0.02
2,6.70,0.03
3,1.06,0.04
4,5.94,0.02